## CsGaNiO3 (GGA+U)

Data for a geometry-optimized CsGaNiO3 structure.

abc: 8.331 8.331 5.259
angles: 90.00 90.00 142.85
Fractional positions:
Cs1 0.250 0.750 0.750
Cs2 0.750 0.250 0.250
Ga1 0.056 0.944 0.250
Ga2 0.944 0.056 0.750
Ni1 0.485 0.515 0.250
Ni2 0.515 0.485 0.750
O1 0.168 0.832 0.250
O2 0.247 0.247 0.000
O3 0.247 0.247 0.500
O4 0.753 0.753 0.000
O5 0.753 0.753 0.500
O6 0.832 0.168 0.750

The value obtained for the density of states at the Fermi level is 0.0 states/eV per cell. As for the raw total energy: -4.8399 eV per atom. The value obtained for the calculated volume is 18.4 Å³/atom.